Sm5Ni4 (PBE-GGA, optimized geometry); calculated total energy = -5.492 eV per atom; space-group type = C2/m (12)
1.0
3.7281 0.0000 0.7724
1.5819 5.3809 1.7479
-0.1614 -0.2371 10.1620
Ni Sm
4 5
Cartesian
2.3338 3.0791 7.5019
2.8148 2.0647 5.1805
2.0046 1.1482 9.0910
3.1441 3.9956 3.5914
0.5867 0.8402 6.5511
0.0000 0.0000 0.0000
1.3925 1.9070 2.6619
4.5619 4.3037 6.1312
3.7561 3.2368 10.0204